NaNi2HgS at its PBEsol-relaxed geometry, computed with meta-GGA SCAN.

Computed properties:
theoretical density = 6.98 g/cm3
formation energy from raw total energies = -0.061 eV per atom
D(E_F) = 3.1 states/eV/f.u.
total magnetic moment = 1.0 μB/f.u.

a = 4.1696 Å, b = 4.1696 Å, c = 5.1014 Å
α = 90.00°, β = 90.00°, γ = 90.00°
Closest atoms and distances in Å follow each position.
Space group P4/mmm (No. 123)
One atom of each set of equivalent atoms:
Na1 0.0000 0.0000 0.0000 (multiplicity 1)  2 S 2.55
Ni1 0.0000 0.5000 0.5000 (multiplicity 2)  2 S 2.08
Hg1 0.5000 0.5000 0.0000 (multiplicity 1)  4 Na 2.95, 8 Ni 3.29
S1 0.0000 0.0000 0.5000 (multiplicity 1)  4 Ni 2.08

***

ScAgSb2 at its PBEsol-relaxed geometry, computed with meta-GGA SCAN.

Computed properties:
theoretical density = 7.31 g/cm3
formation energy from raw total energies = -0.387 eV per atom
D(E_F) = 1.8 states/eV/f.u.
total magnetic moment = 0.0 μB/f.u.

a = 3.9401 Å, b = 3.9401 Å, c = 5.8010 Å
α = 90.00°, β = 90.00°, γ = 90.00°
Closest atoms and distances in Å follow each position.
Space group P4mm (No. 99)
One atom of each set of equivalent atoms:
Sc1 0.0000 0.0000 0.0000 (multiplicity 1)  6 Sb 2.85-2.95
Ag1 0.5000 0.5000 0.3363 (multiplicity 1)  6 Sb 2.82-2.98
Sb1 0.0000 0.0000 0.4908 (multiplicity 1)  2 Sc 2.85-2.95, 4 Ag 2.93
Sb2 0.5000 0.5000 0.8500 (multiplicity 1)  2 Ag 2.82-2.98, 4 Sc 2.92

***

Ba2CaP at its PBEsol-relaxed geometry, computed with meta-GGA SCAN.

Computed properties:
energy relative to the elements = -0.313 eV/atom
theoretical density = 4.43 g/cm3
D(E_F) = 3.0 states/eV/f.u.
total magnetic moment = 0.0 μB/f.u.

a = 5.1845 Å, b = 5.1845 Å, c = 4.8226 Å
α = 90.00°, β = 90.00°, γ = 90.00°
Closest atoms and distances in Å follow each position.
Space group P4/mmm (No. 123)
One atom of each set of equivalent atoms:
Ba1 0.0000 0.5000 0.0000 (multiplicity 2)  4 P 3.54, 4 Ca 3.54, 4 Ba 3.67
Ca1 0.0000 0.0000 0.5000 (multiplicity 1)  8 Ba 3.54, 4 P 3.67
P1 0.5000 0.5000 0.5000 (multiplicity 1)  8 Ba 3.54, 4 Ca 3.67

***

MgHg5 at its PBEsol-relaxed geometry, computed with meta-GGA SCAN.

Computed properties:
energy relative to the elements = -0.060 eV/atom
theoretical density = 12.70 g/cm3
D(E_F) = 2.0 states/eV/f.u.
total magnetic moment = 0.0 μB/f.u.

a = 5.0759 Å, b = 3.4506 Å, c = 15.3324 Å
α = 90.00°, β = 90.00°, γ = 90.00°
Closest atoms and distances in Å follow each position.
Space group Amm2 (No. 38)
One atom of each set of equivalent atoms:
Mg1 0.0000 0.0000 0.0000 (multiplicity 2)  10 Hg 3.02-3.16
Hg1 0.0000 0.0000 0.3386 (multiplicity 2)  2 Mg 3.02, 8 Hg 3.12-3.19
Hg2 0.0000 0.0000 0.6633 (multiplicity 2)  2 Mg 3.04, 8 Hg 3.08-3.19
Hg3 0.5000 0.0000 0.2199 (multiplicity 2)  10 Hg 3.07-3.19
Hg4 0.5000 0.0000 0.5499 (multiplicity 2)  6 Hg 3.05-3.13, 4 Mg 3.16
Hg5 0.5000 0.0000 0.8858 (multiplicity 2)  8 Hg 3.05-3.15, 2 Mg 3.08

***

NbCoSb at its PBEsol-relaxed geometry, computed with meta-GGA SCAN.

Computed properties:
theoretical density = 8.81 g/cm3
formation energy from raw total energies = -0.235 eV per atom
D(E_F) = 3.4 states/eV/f.u.
total magnetic moment = 0.4 μB/f.u.

a = 5.9094 Å, b = 5.9094 Å, c = 5.9094 Å
α = 90.00°, β = 90.00°, γ = 90.00°
Closest atoms and distances in Å follow each position.
Space group F-43m (No. 216)
One atom of each set of equivalent atoms:
Nb1 0.0000 0.0000 0.0000 (multiplicity 4)  4 Co 2.56
Co1 0.2500 0.2500 0.2500 (multiplicity 4)  4 Nb 2.56, 4 Sb 2.56
Sb1 0.0000 0.0000 0.5000 (multiplicity 4)  4 Co 2.56

***

Mg16Al12Au at its PBEsol-relaxed geometry, computed with meta-GGA SCAN.

Computed properties:
energy relative to the elements = -0.084 eV/atom
theoretical density = 2.68 g/cm3
D(E_F) = 9.8 states/eV/f.u.
total magnetic moment = 0.0 μB/f.u.

a = 10.4227 Å, b = 14.6087 Å, c = 9.0108 Å
α = 90.00°, β = 124.64°, γ = 90.00°
Closest atoms and distances in Å follow each position.
Space group Cm (No. 8)
One atom of each set of equivalent atoms:
Mg1 0.0000 0.0000 0.0000 (multiplicity 2)  12 Al 3.11-3.22, 4 Mg 3.12-3.27
Mg2 0.0090 0.0000 0.3518 (multiplicity 2)  1 Au 2.93, 4 Mg 3.00-3.12, 6 Al 3.02-3.11
Mg3 0.0637 0.3454 0.4064 (multiplicity 4)  5 Al 2.85-3.18, 6 Mg 3.06-3.15
Mg4 0.1303 0.5000 0.6700 (multiplicity 2)  4 Al 2.98-3.19, 1 Au 3.00, 5 Mg 3.06-3.27
Mg5 0.1590 0.1595 0.6040 (multiplicity 4)  5 Al 2.84-3.17, 1 Au 2.84, 5 Mg 3.00-3.14
Mg6 0.1793 0.1759 0.9982 (multiplicity 4)  4 Mg 3.02-3.18, 7 Al 3.07-3.38
Mg7 0.1958 0.5000 0.2984 (multiplicity 2)  5 Al 2.92-3.12, 7 Mg 3.02-3.12
Mg8 0.3059 0.2983 0.3247 (multiplicity 4)  5 Al 2.87-3.05, 6 Mg 3.03-3.15
Mg9 0.4619 0.1294 0.9933 (multiplicity 4)  5 Al 2.83-3.09, 4 Mg 3.02-3.14, 1 Au 3.14
Mg10 0.4891 0.1905 0.6919 (multiplicity 4)  4 Al 2.84-3.16, 5 Mg 3.02-3.15, 1 Au 3.13
Al1 0.0108 0.1880 0.1920 (multiplicity 4)  3 Al 2.68-2.73, 2 Mg 2.85-2.99
Al2 0.1867 0.0000 0.8165 (multiplicity 2)  1 Au 2.65, 3 Al 2.69-2.74, 2 Mg 2.92
Al3 0.2403 0.4081 0.0186 (multiplicity 4)  3 Al 2.68-2.73, 4 Mg 2.83-2.98
Al4 0.2792 0.0935 0.3680 (multiplicity 4)  3 Al 2.68-2.73, 1 Au 2.70, 2 Mg 2.84-2.92
Al5 0.3226 0.3135 0.8238 (multiplicity 4)  3 Al 2.66-2.73, 2 Mg 2.84-2.97
Al6 0.3684 0.0000 0.1793 (multiplicity 2)  3 Al 2.69-2.72, 3 Mg 2.94-2.95
Al7 0.4101 0.4063 0.6408 (multiplicity 4)  3 Al 2.66-2.74, 3 Mg 2.87-2.96
Au1 0.3370 0.0000 0.6590 (multiplicity 2)  3 Al 2.65-2.70, 3 Mg 2.84-2.93

***

SrCrTe2Pt at its PBEsol-relaxed geometry, computed with meta-GGA SCAN.

Computed properties:
theoretical density = 7.81 g/cm3
formation energy from raw total energies = 0.394 eV per atom
D(E_F) = 4.6 states/eV/f.u.
total magnetic moment = 3.3 μB/f.u.

a = 4.8499 Å, b = 4.8499 Å, c = 5.3337 Å
α = 90.00°, β = 90.00°, γ = 90.00°
Closest atoms and distances in Å follow each position.
Space group P4/mmm (No. 123)
One atom of each set of equivalent atoms:
Sr1 0.0000 0.0000 0.0000 (multiplicity 1)  2 Cr 2.67
Cr1 0.0000 0.0000 0.5000 (multiplicity 1)  4 Te 2.42, 2 Sr 2.67
Te1 0.0000 0.5000 0.5000 (multiplicity 2)  2 Cr 2.42
Pt1 0.5000 0.5000 0.0000 (multiplicity 1)  4 Sr 3.43, 8 Te 3.60

***

LiV2P3O12 at its PBEsol-relaxed geometry, computed with meta-GGA SCAN.

Computed properties:
theoretical density = 3.08 g/cm3
formation energy from raw total energies = -2.553 eV per atom
D(E_F) = 0.1 states/eV/f.u.
total magnetic moment = 2.0 μB/f.u.

a = 14.4900 Å, b = 8.4736 Å, c = 8.3933 Å
α = 90.00°, β = 124.61°, γ = 90.00°
Closest atoms and distances in Å follow each position.
Space group Cc (No. 9)
One atom of each set of equivalent atoms:
Li1 0.0000 0.2490 0.0000 (multiplicity 4)  6 O 2.19-2.21
V1 0.1400 0.2500 0.8598 (multiplicity 4)  6 O 1.86-1.94
V2 0.3598 0.2500 0.6400 (multiplicity 4)  6 O 1.86-1.94
P1 0.1049 0.3950 0.4599 (multiplicity 4)  4 O 1.54
P2 0.2499 0.0400 0.2500 (multiplicity 4)  4 O 1.54
P3 0.3950 0.3950 0.0400 (multiplicity 4)  4 O 1.54
O1 0.0138 0.3199 0.2652 (multiplicity 4)  1 P 1.54
O2 0.0906 0.4246 0.9438 (multiplicity 4)  1 P 1.54
O3 0.0960 0.3446 0.6266 (multiplicity 4)  1 P 1.54
O4 0.1606 0.1454 0.0838 (multiplicity 4)  1 P 1.54
O5 0.1874 0.0641 0.8093 (multiplicity 4)  1 P 1.54
O6 0.2180 0.3414 0.5014 (multiplicity 4)  1 P 1.54
O7 0.2819 0.3414 0.9984 (multiplicity 4)  1 P 1.54
O8 0.3125 0.0641 0.6907 (multiplicity 4)  1 P 1.54
O9 0.3393 0.1455 0.4160 (multiplicity 4)  1 P 1.54
O10 0.4039 0.3446 0.8733 (multiplicity 4)  1 P 1.54
O11 0.4093 0.4246 0.5561 (multiplicity 4)  1 P 1.54
O12 0.4860 0.3200 0.2347 (multiplicity 4)  1 P 1.54

***

Sc2ZnPt at its PBEsol-relaxed geometry, computed with meta-GGA SCAN.

Computed properties:
energy relative to the elements = -0.718 eV/atom
theoretical density = 8.04 g/cm3
D(E_F) = 2.1 states/eV/f.u.
total magnetic moment = 1.2 μB/f.u.

a = 3.3965 Å, b = 3.3965 Å, c = 6.2708 Å
α = 90.00°, β = 90.00°, γ = 90.00°
Closest atoms and distances in Å follow each position.
Space group P4mm (No. 99)
One atom of each set of equivalent atoms:
Sc1 0.0000 0.0000 0.0000 (multiplicity 1)  1 Zn 2.75, 4 Pt 2.76
Sc2 0.5000 0.5000 0.3294 (multiplicity 1)  4 Zn 2.81, 1 Pt 2.85
Zn1 0.0000 0.0000 0.5611 (multiplicity 1)  5 Sc 2.75-2.81, 4 Pt 2.78
Pt1 0.5000 0.5000 0.7833 (multiplicity 1)  5 Sc 2.76-2.85, 4 Zn 2.78

***

P2PbCl at its PBEsol-relaxed geometry, computed with meta-GGA SCAN.

Computed properties:
theoretical density = 5.38 g/cm3
formation energy from raw total energies = -0.182 eV per atom
D(E_F) = 0.9 states/eV/f.u.
total magnetic moment = 0.0 μB/f.u.

a = 11.7475 Å, b = 3.3155 Å, c = 4.9033 Å
α = 90.00°, β = 100.30°, γ = 90.00°
Closest atoms and distances in Å follow each position.
Space group C2/m (No. 12)
One atom of each set of equivalent atoms:
P1 0.2335 0.0000 0.1336 (multiplicity 4)  2 P 2.19
Pb1 0.0000 0.5000 0.0000 (multiplicity 2)  4 Cl 2.96, 6 P 3.17-3.31
Cl1 0.0000 0.0000 0.5000 (multiplicity 2)  4 Pb 2.96

***

LiTcP2 at its PBEsol-relaxed geometry, computed with meta-GGA SCAN.

Computed properties:
energy relative to the elements = -0.455 eV/atom
theoretical density = 4.93 g/cm3
D(E_F) = 0.4 states/eV/f.u.
total magnetic moment = 0.0 μB/f.u.

a = 2.8974 Å, b = 2.8925 Å, c = 6.7490 Å
α = 90.00°, β = 96.22°, γ = 90.00°
Closest atoms and distances in Å follow each position.
Space group P2/m (No. 10)
One atom of each set of equivalent atoms:
Li1 0.0000 0.0000 0.0000 (multiplicity 1)  4 P 2.65, 4 Li 2.89-2.90
Tc1 0.0000 0.0000 0.5000 (multiplicity 1)  8 P 2.49-2.50
P1 0.4503 0.5000 0.2872 (multiplicity 2)  4 Tc 2.49-2.50, 2 Li 2.65

***

Cu2SbMo at its PBEsol-relaxed geometry, computed with meta-GGA SCAN.

Computed properties:
theoretical density = 9.55 g/cm3
formation energy from raw total energies = 0.421 eV per atom
D(E_F) = 2.6 states/eV/f.u.
total magnetic moment = 0.0 μB/f.u.

a = 6.2132 Å, b = 6.2132 Å, c = 6.2132 Å
α = 90.00°, β = 90.00°, γ = 90.00°
Closest atoms and distances in Å follow each position.
Space group F-43m (No. 216)
One atom of each set of equivalent atoms:
Cu1 0.0000 0.0000 0.0000 (multiplicity 4)  4 Sb 2.69, 4 Cu 2.69
Cu2 0.2500 0.2500 0.2500 (multiplicity 4)  4 Mo 2.69, 4 Cu 2.69
Sb1 0.2500 0.2500 0.7500 (multiplicity 4)  4 Mo 2.69, 4 Cu 2.69
Mo1 0.0000 0.0000 0.5000 (multiplicity 4)  4 Sb 2.69, 4 Cu 2.69